No. 1
# DyYPt PBE-GGA optimized geometry
data_DyYPt
_space_group_name_H-M_alt 'F -4 3 m'
_space_group_IT_number 216
_space_group_name_Hall 'F -4 2 3'
_cell_length_a 6.7259
_cell_length_b 6.7259
_cell_length_c 6.7259
_cell_angle_alpha 90.00
_cell_angle_beta 90.00
_cell_angle_gamma 90.00
loop_
_atom_site_label
_atom_site_fract_x
_atom_site_fract_y
_atom_site_fract_z
Dy1 0.0000 0.0000 0.0000
Y1 0.2500 0.2500 0.2500
Pt1 0.2500 0.2500 0.7500
# **Offset from the most stable computed form**: 561 meV/atom
# **E_form**: -0.092 eV/atom


No. 2
A geometry-optimized LiGdSe2 structure. Source: the Open Quantum Materials Database, functional PBE-GGA.

```
data_LiGdSe2
_space_group_name_H-M_alt 'I -4 2 d'
_space_group_IT_number 122
_space_group_name_Hall 'I -4 2bw'
_cell_length_a 6.1520
_cell_length_b 6.1520
_cell_length_c 12.5951
_cell_angle_alpha 90.00
_cell_angle_beta 90.00
_cell_angle_gamma 90.00
loop_
_atom_site_label
_atom_site_fract_x
_atom_site_fract_y
_atom_site_fract_z
Li1 0.0000 0.0000 0.0000
Gd1 0.0000 0.0000 0.5000
Se1 0.2310 0.7500 0.1250
```


No. 3
# ZnCu2Ni PBE-GGA optimized geometry
data_ZnCu2Ni
_space_group_name_H-M_alt 'P m m n'
_space_group_IT_number 59
_cell_length_a 4.1802
_cell_length_b 5.0939
_cell_length_c 4.4686
_cell_angle_alpha 90.00
_cell_angle_beta 90.00
_cell_angle_gamma 90.00
loop_
_space_group_symop_operation_xyz
'x,y,z'
'-x,-y,-z'
'-x+1/2,-y+1/2,z'
'x+1/2,y+1/2,-z'
'x+1/2,-y,-z'
'-x+1/2,y,z'
'-x,y+1/2,-z'
'x,-y+1/2,z'
loop_
_atom_site_label
_atom_site_fract_x
_atom_site_fract_y
_atom_site_fract_z
Zn1 0.2500 0.2500 0.1590
Cu1 0.2500 0.0006 0.6626
Ni1 0.2500 0.7500 0.1668
# **E_form**: -0.093 eV/atom


No. 4
# ZrFeReSi PBE-GGA optimized geometry
data_ZrFeReSi
_space_group_name_H-M_alt 'F -4 3 m'
_space_group_IT_number 216
_space_group_name_Hall 'F -4 2 3'
_cell_length_a 6.2786
_cell_length_b 6.2786
_cell_length_c 6.2786
_cell_angle_alpha 90.00
_cell_angle_beta 90.00
_cell_angle_gamma 90.00
loop_
_atom_site_label
_atom_site_fract_x
_atom_site_fract_y
_atom_site_fract_z
Zr1 0.0000 0.0000 0.0000
Fe1 0.0000 0.0000 0.5000
Re1 0.2500 0.2500 0.7500
Si1 0.2500 0.2500 0.2500
# **Offset from the most stable computed form**: 313 meV/atom


No. 5
A geometry-optimized BaCuB2 structure. Source: the Open Quantum Materials Database, functional PBE-GGA.

```
data_BaCuB2
_space_group_name_H-M_alt 'F -4 3 m'
_space_group_IT_number 216
_space_group_name_Hall 'F -4 2 3'
_cell_length_a 6.5338
_cell_length_b 6.5338
_cell_length_c 6.5338
_cell_angle_alpha 90.00
_cell_angle_beta 90.00
_cell_angle_gamma 90.00
loop_
_atom_site_label
_atom_site_fract_x
_atom_site_fract_y
_atom_site_fract_z
Ba1 0.0000 0.0000 0.0000
Cu1 0.2500 0.2500 0.2500
B1 0.0000 0.0000 0.5000
B2 0.2500 0.2500 0.7500
```


No. 6
A geometry-optimized NdAsW structure. Source: the Open Quantum Materials Database, functional PBE-GGA.

```
data_NdAsW
_space_group_name_H-M_alt 'F -4 3 m'
_space_group_IT_number 216
_space_group_name_Hall 'F -4 2 3'
_cell_length_a 6.5125
_cell_length_b 6.5125
_cell_length_c 6.5125
_cell_angle_alpha 90.00
_cell_angle_beta 90.00
_cell_angle_gamma 90.00
loop_
_atom_site_label
_atom_site_fract_x
_atom_site_fract_y
_atom_site_fract_z
Nd1 0.0000 0.0000 0.0000
As1 0.2500 0.2500 0.2500
W1 0.0000 0.0000 0.5000
```


No. 7
A geometry-optimized CdCo2Ge structure. Source: the Open Quantum Materials Database, functional PBE-GGA.

```
data_CdCo2Ge
_space_group_name_H-M_alt 'F -4 3 m'
_space_group_IT_number 216
_space_group_name_Hall 'F -4 2 3'
_cell_length_a 6.1469
_cell_length_b 6.1469
_cell_length_c 6.1469
_cell_angle_alpha 90.00
_cell_angle_beta 90.00
_cell_angle_gamma 90.00
loop_
_atom_site_label
_atom_site_fract_x
_atom_site_fract_y
_atom_site_fract_z
Cd1 0.0000 0.0000 0.0000
Co1 0.0000 0.0000 0.5000
Co2 0.2500 0.2500 0.2500
Ge1 0.2500 0.2500 0.7500
```


No. 8
# SiAuNO PBE-GGA optimized geometry
data_SiAuNO
_space_group_name_H-M_alt 'P m c 21'
_space_group_IT_number 26
_cell_length_a 2.9775
_cell_length_b 6.7465
_cell_length_c 5.5020
_cell_angle_alpha 90.00
_cell_angle_beta 90.00
_cell_angle_gamma 90.00
loop_
_space_group_symop_operation_xyz
'x,y,z'
'-x,-y,z+1/2'
'-x,y,z'
'x,-y,z+1/2'
loop_
_atom_site_label
_atom_site_fract_x
_atom_site_fract_y
_atom_site_fract_z
Si1 0.0000 0.1297 0.0000
Au1 0.5000 0.4927 0.7269
N1 0.5000 0.2642 0.9852
O1 0.0000 0.0192 0.2655
# **Offset from the most stable computed form**: 0 meV/atom


No. 9
# Ho5Co2 PBE-GGA optimized geometry
data_Ho5Co2
_space_group_name_H-M_alt 'C 1 2/c 1'
_space_group_IT_number 15
_cell_length_a 15.8171
_cell_length_b 6.2470
_cell_length_c 6.8800
_cell_angle_alpha 90.00
_cell_angle_beta 96.78
_cell_angle_gamma 90.00
loop_
_space_group_symop_operation_xyz
'x,y,z'
'-x,-y,-z'
'-x,y,-z+1/2'
'x,-y,z+1/2'
'x+1/2,y+1/2,z'
'-x+1/2,-y+1/2,-z'
'-x+1/2,y+1/2,-z+1/2'
'x+1/2,-y+1/2,z+1/2'
loop_
_atom_site_label
_atom_site_fract_x
_atom_site_fract_y
_atom_site_fract_z
Ho1 0.0000 0.0701 0.2500
Ho2 0.0949 0.3923 0.9131
Ho3 0.2157 0.0686 0.3152
Co1 0.1115 0.2124 0.5723
# **E_form**: -0.193 eV/atom


No. 10
A geometry-optimized Dy5Si4 structure. Source: the Open Quantum Materials Database, functional PBE-GGA.

```
data_Dy5Si4
_space_group_name_H-M_alt 'P n m a'
_space_group_IT_number 62
_cell_length_a 7.4393
_cell_length_b 14.5775
_cell_length_c 7.6862
_cell_angle_alpha 90.00
_cell_angle_beta 90.00
_cell_angle_gamma 90.00
loop_
_space_group_symop_operation_xyz
'x,y,z'
'-x,-y,-z'
'-x+1/2,-y,z+1/2'
'x+1/2,y,-z+1/2'
'x+1/2,-y+1/2,-z+1/2'
'-x+1/2,y+1/2,z+1/2'
'-x,y+1/2,-z'
'x,-y+1/2,z'
loop_
_atom_site_label
_atom_site_fract_x
_atom_site_fract_y
_atom_site_fract_z
Dy1 0.0310 0.0990 0.1838
Dy2 0.1466 0.7500 0.5115
Dy3 0.1836 0.1227 0.6795
Si1 0.0197 0.7500 0.1041
Si2 0.1445 0.5406 0.4722
Si3 0.2365 0.2500 0.3730
```


Uncorrected energy / eV per atom: -5.7992; -4.8789; -3.6594; -8.5268; -3.1825; -7.1045; -4.4389; -6.6010; -5.4924; -5.7157